A relaxed CsHoCdS3 crystal. Source: the Open Quantum Materials Database, functional PBE.

Geometry as CIF:
```
data_CsHoCdS3
_cell_length_a 10.751
_cell_length_b 4.142
_cell_length_c 15.398
_cell_angle_alpha 90.00
_cell_angle_beta 90.00
_cell_angle_gamma 90.00
_symmetry_space_group_name_H-M 'P n m a'
_symmetry_Int_Tables_number 62
_symmetry_space_group_name_Hall '-P 2ac 2n'
loop_
_atom_site_label
_atom_site_fract_x
_atom_site_fract_y
_atom_site_fract_z
_atom_site_occupancy
Cs1 0.248 0.250 0.012 1
Ho1 0.006 0.250 0.749 1
Cd1 0.244 0.250 0.295 1
S1 0.037 0.250 0.367 1
S2 0.048 0.750 0.866 1
S3 0.243 0.750 0.195 1
```

Summary:
magnetic moment = 0.000 μB/atom
total DFT energy (no corrections) = -27.29 eV per formula unit
theoretical density = 4906 kg/m3

A relaxed CsHoCdS3 crystal. Source: the Open Quantum Materials Database, functional PBE.

Geometry as CIF:
```
data_CsHoCdS3
_cell_length_a 17.291
_cell_length_b 4.133
_cell_length_c 9.197
_cell_angle_alpha 90.00
_cell_angle_beta 101.88
_cell_angle_gamma 90.00
_symmetry_space_group_name_H-M 'C 1 2/m 1'
_symmetry_Int_Tables_number 12
_symmetry_space_group_name_Hall '-C 2y'
loop_
_atom_site_label
_atom_site_fract_x
_atom_site_fract_y
_atom_site_fract_z
_atom_site_occupancy
Cs1 0.153 0.000 0.058 1
Ho1 0.167 0.000 0.572 1
Cd1 0.002 0.500 0.719 1
S1 0.000 0.000 0.500 1
S2 0.000 0.500 0.000 1
S3 0.156 0.500 0.754 1
S4 0.170 0.500 0.372 1
```

Summary:
magnetic moment = 0.000 μB/atom
total DFT energy (no corrections) = -26.68 eV per formula unit
theoretical density = 5230 kg/m3

A relaxed CsHoCdS3 crystal. Source: the Open Quantum Materials Database, functional PBE.

Geometry as CIF:
```
data_CsHoCdS3
_cell_length_a 9.044
_cell_length_b 4.149
_cell_length_c 10.322
_cell_angle_alpha 90.00
_cell_angle_beta 111.08
_cell_angle_gamma 90.00
_symmetry_space_group_name_H-M 'P 1 21/m 1'
_symmetry_Int_Tables_number 11
_symmetry_space_group_name_Hall '-P 2yb'
loop_
_atom_site_label
_atom_site_fract_x
_atom_site_fract_y
_atom_site_fract_z
_atom_site_occupancy
Cs1 0.234 0.250 0.249 1
Ho1 0.329 0.750 0.870 1
Cd1 0.083 0.250 0.616 1
S1 0.121 0.250 0.867 1
S2 0.219 0.750 0.560 1
S3 0.478 0.750 0.143 1
```

Summary:
magnetic moment = 0.000 μB/atom
total DFT energy (no corrections) = -27.20 eV per formula unit
theoretical density = 4653 kg/m3

A relaxed CsHoCdS3 crystal. Source: the Open Quantum Materials Database, functional PBE.

Geometry as CIF:
```
data_CsHoCdS3
_cell_length_a 10.631
_cell_length_b 4.101
_cell_length_c 15.433
_cell_angle_alpha 90.00
_cell_angle_beta 90.00
_cell_angle_gamma 90.00
_symmetry_space_group_name_H-M 'P n m a'
_symmetry_Int_Tables_number 62
_symmetry_space_group_name_Hall '-P 2ac 2n'
loop_
_atom_site_label
_atom_site_fract_x
_atom_site_fract_y
_atom_site_fract_z
_atom_site_occupancy
Cs1 0.022 0.250 0.168 1
Ho1 0.164 0.750 0.440 1
Cd1 0.162 0.250 0.639 1
S1 0.016 0.750 0.596 1
S2 0.198 0.750 0.007 1
S3 0.245 0.250 0.787 1
```

Summary:
magnetic moment = 0.000 μB/atom
total DFT energy (no corrections) = -26.96 eV per formula unit
theoretical density = 4999 kg/m3

Question: Which formula does entry 1 have?
Answer: CsHoCdS3

Question: Which value of total DFT energy (no corrections) does entry 1 give?
Answer: -27.29 eV per formula unit

Question: Look up the total DFT energy (no corrections) of the first one.
Answer: -27.29 eV per formula unit